(1)
A plane-wave DFT calculation with PBE was carried out for Mo3PW after structural relaxation.

Values from the calculation:
crystal system: cubic
Fermi-level density of states: 7.30 states/eV/cell
symmetry: Pm-3m, No. 221
spin magnetization: 0.26 μB/atom

a = 4.7619 Å, b = 4.7619 Å, c = 4.7619 Å
α = 90.00°, β = 90.00°, γ = 90.00°
Last column: nearest neighbours and their distance in Å.
Fractional positions:
P (0.5000, 0.5000, 0.5000)  12 Mo 3.37
Mo (0.0000, 0.5000, 0.0000)  2 W 2.38
Mo (0.0000, 0.0000, 0.5000)  2 W 2.38
Mo (0.5000, 0.0000, 0.0000)  2 W 2.38
W (0.0000, 0.0000, 0.0000)  6 Mo 2.38

***

(2)
A plane-wave DFT calculation with PBE was carried out for Mo3PW after structural relaxation.

Values from the calculation:
crystal system: cubic
Fermi-level density of states: 8.73 states/eV/cell
symmetry: Pm-3m, No. 221
spin magnetization: 0.00 μB/atom

a = 4.4032 Å, b = 4.4032 Å, c = 4.4032 Å
α = 90.00°, β = 90.00°, γ = 90.00°
Last column: nearest neighbours and their distance in Å.
Fractional positions:
P (0.0000, 0.0000, 0.0000)  6 Mo 2.20
Mo (0.0000, 0.5000, 0.0000)  2 P 2.20
Mo (0.0000, 0.0000, 0.5000)  2 P 2.20
Mo (0.5000, 0.0000, 0.0000)  2 P 2.20
W (0.5000, 0.5000, 0.5000)  12 Mo 3.11

***

It turns out (2) is the most stable, with the second structure 1321 meV per atom higher.

***

(1)
A plane-wave DFT calculation with PBE was carried out for MoPW after structural relaxation.

Values from the calculation:
crystal system: trigonal
Fermi-level density of states: 2.37 states/eV/cell
symmetry: P3m1, No. 156
spin magnetization: 0.00 μB/atom

a = 4.2581 Å, b = 4.2581 Å, c = 2.8841 Å
α = 90.00°, β = 90.00°, γ = 120.00°
Last column: nearest neighbours and their distance in Å.
Fractional positions:
Mo (0.0000, 0.0000, 0.0567)  6 P 2.73-2.99, 6 W 2.74-2.97, 2 Mo 2.88
P (0.6667, 0.3333, 0.4655)  3 W 2.46, 3 Mo 2.73
W (0.3333, 0.6667, 0.4778)  3 P 2.46, 3 Mo 2.74

***

(2)
A plane-wave DFT calculation with PBE was carried out for MoPW after structural relaxation.

Values from the calculation:
crystal system: orthorhombic
Fermi-level density of states: 2.36 states/eV/cell
symmetry: Fmm2, No. 42
spin magnetization: 0.00 μB/atom

a = 6.0810 Å, b = 5.8776 Å, c = 2.8821 Å
α = 80.02°, β = 72.16°, γ = 27.82°
Last column: nearest neighbours and their distance in Å.
Fractional positions:
Mo (0.9875, 0.9875, 0.0125)  2 P 2.43
P (0.3341, 0.3341, 0.6659)  2 Mo 2.43, 2 W 2.45
W (0.6785, 0.6785, 0.3215)  2 P 2.45

***

(3)
A plane-wave DFT calculation with PBE was carried out for MoPW after structural relaxation.

Values from the calculation:
crystal system: cubic
Fermi-level density of states: 4.86 states/eV/cell
symmetry: F-43m, No. 216
spin magnetization: 0.00 μB/atom

a = 4.0734 Å, b = 4.0734 Å, c = 4.0734 Å
α = 60.00°, β = 60.00°, γ = 60.00°
Last column: nearest neighbours and their distance in Å.
Fractional positions:
Mo (0.5000, 0.5000, 0.5000)  4 P 2.49
P (0.7500, 0.7500, 0.7500)  4 W 2.49, 4 Mo 2.49
W (0.0000, 0.0000, 0.0000)  4 P 2.49

***

It turns out (1) is the most stable, with the second structure 126 meV per atom higher.

***

(1)
A plane-wave DFT calculation with PBE was carried out for MoPW after structural relaxation.

Values from the calculation:
crystal system: tetragonal
Fermi-level density of states: 2.44 states/eV/cell
symmetry: P4/nmm, No. 129
spin magnetization: 0.00 μB/atom

a = 3.1867 Å, b = 3.1867 Å, c = 8.7606 Å
α = 90.00°, β = 90.00°, γ = 90.00°
Last column: nearest neighbours and their distance in Å.
Fractional positions:
P (0.0000, 0.5000, 0.5909)  5 Mo 2.48-2.64, 4 P 2.76
P (0.5000, 0.0000, 0.4091)  5 Mo 2.48-2.64, 4 P 2.76
Mo (0.5000, 0.0000, 0.7099)  5 P 2.48-2.64
Mo (0.0000, 0.5000, 0.2901)  5 P 2.48-2.64
W (0.0000, 0.5000, 0.9174)  4 W 2.68, 1 P 2.86, 4 Mo 2.90
W (0.5000, 0.0000, 0.0826)  4 W 2.68, 1 P 2.86, 4 Mo 2.90

***

(2)
A plane-wave DFT calculation with PBE was carried out for MoPW after structural relaxation.

Values from the calculation:
crystal system: monoclinic
Fermi-level density of states: 2.13 states/eV/cell
symmetry: Cm, No. 8
spin magnetization: 0.00 μB/atom

a = 5.3753 Å, b = 5.3797 Å, c = 5.3797 Å
α = 148.02°, β = 148.00°, γ = 45.88°
Last column: nearest neighbours and their distance in Å.
Fractional positions:
Mo (0.0203, 0.0202, 0.0001)  4 P 2.55
P (0.6664, 0.6664, 0.0000)  4 Mo 2.55, 4 W 2.55
W (0.3133, 0.3134, 0.9999)  4 P 2.55

***

It turns out (1) is the most stable, with the second structure 188 meV per atom higher.

***

(1)
A plane-wave DFT calculation with PBE was carried out for MoP3W after structural relaxation.

Values from the calculation:
crystal system: cubic
Fermi-level density of states: 10.06 states/eV/cell
symmetry: Pm-3m, No. 221
spin magnetization: 0.00 μB/atom

a = 4.5879 Å, b = 4.5879 Å, c = 4.5879 Å
α = 90.00°, β = 90.00°, γ = 90.00°
Last column: nearest neighbours and their distance in Å.
Fractional positions:
P (0.0000, 0.5000, 0.0000)  2 Mo 2.29
P (0.0000, 0.0000, 0.5000)  2 Mo 2.29
P (0.5000, 0.0000, 0.0000)  2 Mo 2.29
Mo (0.0000, 0.0000, 0.0000)  6 P 2.29
W (0.5000, 0.5000, 0.5000)  12 P 3.24

***

(2)
A plane-wave DFT calculation with PBE was carried out for MoP3W after structural relaxation.

Values from the calculation:
crystal system: cubic
Fermi-level density of states: 3.11 states/eV/cell
symmetry: Pm-3m, No. 221
spin magnetization: 0.73 μB/atom

a = 4.6828 Å, b = 4.6828 Å, c = 4.6828 Å
α = 90.00°, β = 90.00°, γ = 90.00°
Last column: nearest neighbours and their distance in Å.
Fractional positions:
P (0.0000, 0.5000, 0.0000)  2 W 2.34
P (0.0000, 0.0000, 0.5000)  2 W 2.34
P (0.5000, 0.0000, 0.0000)  2 W 2.34
Mo (0.5000, 0.5000, 0.5000)  12 P 3.31
W (0.0000, 0.0000, 0.0000)  6 P 2.34

***

It turns out (2) is the most stable, with the second structure 421 meV per atom higher.

***

(1)
A plane-wave DFT calculation with PBE was carried out for YMoP3 after structural relaxation.

Values from the calculation:
crystal system: cubic
Fermi-level density of states: 12.77 states/eV/cell
symmetry: Pm-3m, No. 221
spin magnetization: 0.00 μB/atom

a = 5.0280 Å, b = 5.0280 Å, c = 5.0280 Å
α = 90.00°, β = 90.00°, γ = 90.00°
Last column: nearest neighbours and their distance in Å.
Fractional positions:
Y (0.0000, 0.0000, 0.0000)  6 P 2.51
P (0.0000, 0.5000, 0.0000)  2 Y 2.51
P (0.0000, 0.0000, 0.5000)  2 Y 2.51
P (0.5000, 0.0000, 0.0000)  2 Y 2.51
Mo (0.5000, 0.5000, 0.5000)  12 P 3.56

***

(2)
A plane-wave DFT calculation with PBE was carried out for YMoP3 after structural relaxation.

Values from the calculation:
crystal system: cubic
Fermi-level density of states: 4.06 states/eV/cell
symmetry: Pm-3m, No. 221
spin magnetization: 0.00 μB/atom

a = 4.7003 Å, b = 4.7003 Å, c = 4.7003 Å
α = 90.00°, β = 90.00°, γ = 90.00°
Last column: nearest neighbours and their distance in Å.
Fractional positions:
Y (0.5000, 0.5000, 0.5000)  12 P 3.32
P (0.0000, 0.5000, 0.0000)  2 Mo 2.35
P (0.0000, 0.0000, 0.5000)  2 Mo 2.35
P (0.5000, 0.0000, 0.0000)  2 Mo 2.35
Mo (0.0000, 0.0000, 0.0000)  6 P 2.35

***

It turns out (2) is the most stable, with the second structure 1685 meV per atom higher.

***

(1)
A plane-wave DFT calculation with PBE was carried out for Y2MoP2 after structural relaxation.

Values from the calculation:
crystal system: tetragonal
Fermi-level density of states: 4.26 states/eV/cell
symmetry: P4/mbm, No. 127
spin magnetization: 0.00 μB/atom

a = 6.7441 Å, b = 6.7441 Å, c = 4.1081 Å
α = 90.00°, β = 90.00°, γ = 90.00°
Last column: nearest neighbours and their distance in Å.
Fractional positions:
Y (0.1739, 0.6739, 0.5000)  6 P 2.74-2.94
Y (0.6739, 0.8261, 0.5000)  6 P 2.74-2.94
Y (0.8261, 0.3261, 0.5000)  6 P 2.74-2.94
Y (0.3261, 0.1739, 0.5000)  6 P 2.74-2.94
P (0.3647, 0.8647, 0.0000)  1 P 2.58, 2 Mo 2.62, 2 Y 2.74
P (0.8647, 0.6353, 0.0000)  1 P 2.58, 2 Mo 2.62, 2 Y 2.74
P (0.6353, 0.1353, 0.0000)  1 P 2.58, 2 Mo 2.62, 2 Y 2.74
P (0.1353, 0.3647, 0.0000)  1 P 2.58, 2 Mo 2.62, 2 Y 2.74
Mo (0.0000, 0.0000, 0.0000)  4 P 2.62
Mo (0.5000, 0.5000, 0.0000)  4 P 2.62

***

(2)
A plane-wave DFT calculation with PBE was carried out for Y2MoP2 after structural relaxation.

Values from the calculation:
crystal system: tetragonal
Fermi-level density of states: 4.10 states/eV/cell
symmetry: I4/mmm, No. 139
spin magnetization: 0.00 μB/atom

a = 5.3032 Å, b = 5.3032 Å, c = 5.3032 Å
α = 116.58°, β = 116.58°, γ = 96.03°
Last column: nearest neighbours and their distance in Å.
Fractional positions:
Y (0.2500, 0.7500, 0.5000)  4 P 2.84
Y (0.7500, 0.2500, 0.5000)  4 P 2.84
Mo (0.0000, 0.0000, 0.0000)  2 P 2.34
P (0.6702, 0.6702, 0.0000)  1 Mo 2.34, 1 P 2.42
P (0.3298, 0.3298, 0.0000)  1 Mo 2.34, 1 P 2.42

***

It turns out (1) is the most stable, with the second structure 675 meV per atom higher.

***

(1)
A plane-wave DFT calculation with PBE was carried out for YMo3P after structural relaxation.

Values from the calculation:
crystal system: cubic
Fermi-level density of states: 5.95 states/eV/cell
symmetry: Pm-3m, No. 221
spin magnetization: 0.00 μB/atom

a = 4.8259 Å, b = 4.8259 Å, c = 4.8259 Å
α = 90.00°, β = 90.00°, γ = 90.00°
Last column: nearest neighbours and their distance in Å.
Fractional positions:
Y (0.0000, 0.0000, 0.0000)  6 Mo 2.41
P (0.5000, 0.5000, 0.5000)  12 Mo 3.41
Mo (0.0000, 0.5000, 0.0000)  2 Y 2.41
Mo (0.0000, 0.0000, 0.5000)  2 Y 2.41
Mo (0.5000, 0.0000, 0.0000)  2 Y 2.41

***

(2)
A plane-wave DFT calculation with PBE was carried out for YMo3P after structural relaxation.

Values from the calculation:
crystal system: cubic
Fermi-level density of states: 5.91 states/eV/cell
symmetry: Pm-3m, No. 221
spin magnetization: 0.00 μB/atom

a = 4.5752 Å, b = 4.5752 Å, c = 4.5752 Å
α = 90.00°, β = 90.00°, γ = 90.00°
Last column: nearest neighbours and their distance in Å.
Fractional positions:
Y (0.5000, 0.5000, 0.5000)  12 Mo 3.24
P (0.0000, 0.0000, 0.0000)  6 Mo 2.29
Mo (0.0000, 0.5000, 0.0000)  2 P 2.29
Mo (0.0000, 0.0000, 0.5000)  2 P 2.29
Mo (0.5000, 0.0000, 0.0000)  2 P 2.29

***

It turns out (2) is the most stable, with the second structure 2508 meV per atom higher.

***

(1)
A plane-wave DFT calculation with PBE was carried out for ZnMoP3 after structural relaxation.

Values from the calculation:
crystal system: cubic
Fermi-level density of states: 5.32 states/eV/cell
symmetry: Pm-3m, No. 221
spin magnetization: 0.00 μB/atom

a = 4.7058 Å, b = 4.7058 Å, c = 4.7058 Å
α = 90.00°, β = 90.00°, γ = 90.00°
Last column: nearest neighbours and their distance in Å.
Fractional positions:
P (0.0000, 0.5000, 0.0000)  2 Mo 2.35
P (0.0000, 0.0000, 0.5000)  2 Mo 2.35
P (0.5000, 0.0000, 0.0000)  2 Mo 2.35
Mo (0.0000, 0.0000, 0.0000)  6 P 2.35
Zn (0.5000, 0.5000, 0.5000)  12 P 3.33

***

(2)
A plane-wave DFT calculation with PBE was carried out for ZnMoP3 after structural relaxation.

Values from the calculation:
crystal system: cubic
Fermi-level density of states: 3.68 states/eV/cell
symmetry: Pm-3m, No. 221
spin magnetization: 0.54 μB/atom

a = 4.5407 Å, b = 4.5407 Å, c = 4.5407 Å
α = 90.00°, β = 90.00°, γ = 90.00°
Last column: nearest neighbours and their distance in Å.
Fractional positions:
P (0.0000, 0.5000, 0.0000)  2 Zn 2.27
P (0.0000, 0.0000, 0.5000)  2 Zn 2.27
P (0.5000, 0.0000, 0.0000)  2 Zn 2.27
Mo (0.5000, 0.5000, 0.5000)  12 P 3.21
Zn (0.0000, 0.0000, 0.0000)  6 P 2.27

***

It turns out (1) is the most stable, with the second structure 743 meV per atom higher.